No. 1
Entry from Alexandria via LeMat-Bulk: a geometry-optimized SbPtO4 structure (PBE-GGA).

**Space-group type**: P2_1/c (14)
**ΔE_f (raw)**: -873 meV per atom
**ρ**: 8472 kg/m3
**Calculated total energy**: -5.8722 eV/atom

a b c (Å): 4.8291 5.8459 5.7415
angles (deg): 112.92 90.00 90.00
Last column: nearest neighbours and their distance in Å.
Fractional coordinates of all 12 atoms:
Sb 0.5000 0.5000 0.0000  6 O 2.04-2.10
Sb 0.0000 0.0000 0.0000  6 O 2.04-2.10
Pt 0.5000 0.0000 0.5000  6 O 2.06-2.12
Pt 0.0000 0.5000 0.5000  6 O 2.06-2.12
O 0.8049 0.1554 0.3403  1 Sb 2.04, 2 Pt 2.09-2.12
O 0.6930 0.1543 0.8468  1 Pt 2.06, 2 Sb 2.08-2.10
O 0.3070 0.8457 0.1532  1 Pt 2.06, 2 Sb 2.08-2.10
O 0.3049 0.3446 0.6597  1 Sb 2.04, 2 Pt 2.09-2.12
O 0.8070 0.6543 0.8468  1 Pt 2.06, 2 Sb 2.08-2.10
O 0.6951 0.6554 0.3403  1 Sb 2.04, 2 Pt 2.09-2.12
O 0.1930 0.3457 0.1532  1 Pt 2.06, 2 Sb 2.08-2.10
O 0.1951 0.8446 0.6597  1 Sb 2.04, 2 Pt 2.09-2.12



No. 2
Entry from Alexandria via LeMat-Bulk: a geometry-optimized Tl4Hg15Pb structure (PBE-GGA).

**Space-group type**: P4/mmm (123)
**ρ**: 11840 kg/m3
**DFT formation energy**: -8 meV per atom
**Calculated total energy**: -0.8931 eV/atom

a b c (Å): 4.9524 4.9524 23.0649
angles (deg): 90.00 90.00 90.00
Last column: nearest neighbours and their distance in Å.
Fractional coordinates of all 20 atoms:
Hg 0.5000 0.5000 0.1944  8 Hg 3.34-3.44, 4 Tl 3.50
Hg 0.0000 0.5000 0.2979  4 Tl 3.40-3.41, 8 Hg 3.41-3.50
Hg 0.0000 0.5000 0.7021  4 Tl 3.40-3.41, 8 Hg 3.41-3.50
Hg 0.0000 0.5000 0.9026  8 Hg 3.34-3.50, 2 Pb 3.34, 2 Tl 3.38
Hg 0.5000 0.5000 0.8056  8 Hg 3.34-3.44, 4 Tl 3.50
Hg 0.5000 0.0000 0.2979  4 Tl 3.40-3.41, 8 Hg 3.41-3.50
Hg 0.5000 0.0000 0.0974  8 Hg 3.34-3.50, 2 Pb 3.34, 2 Tl 3.38
Hg 0.0000 0.5000 0.5000  4 Tl 3.39, 8 Hg 3.39-3.50
Hg 0.5000 0.0000 0.5000  4 Tl 3.39, 8 Hg 3.39-3.50
Hg 0.5000 0.0000 0.9026  8 Hg 3.34-3.50, 2 Pb 3.34, 2 Tl 3.38
Hg 0.5000 0.5000 0.3995  8 Hg 3.39-3.41, 4 Tl 3.50
Hg 0.5000 0.0000 0.7021  4 Tl 3.40-3.41, 8 Hg 3.41-3.50
Hg 0.5000 0.5000 0.6005  8 Hg 3.39-3.41, 4 Tl 3.50
Hg 0.0000 0.5000 0.0974  8 Hg 3.34-3.50, 2 Pb 3.34, 2 Tl 3.38
Hg 0.5000 0.5000 0.0000  8 Hg 3.34, 4 Pb 3.50
Tl 0.0000 0.0000 0.3996  12 Hg 3.39-3.50
Tl 0.0000 0.0000 0.6004  12 Hg 3.39-3.50
Tl 0.0000 0.0000 0.8029  12 Hg 3.38-3.50
Tl 0.0000 0.0000 0.1971  12 Hg 3.38-3.50
Pb 0.0000 0.0000 0.0000  12 Hg 3.34-3.50



No. 3
Entry from Alexandria via LeMat-Bulk: a geometry-optimized Cd5HgPd6 structure (PBE-GGA).

**Space-group type**: C2/m (12)
**ρ**: 11008 kg/m3
**DFT formation energy**: -356 meV per atom
**Calculated total energy**: -3.3587 eV/atom

a b c (Å): 4.7811 8.1585 8.1585
angles (deg): 122.96 106.96 106.96
Last column: nearest neighbours and their distance in Å.
Fractional coordinates of all 12 atoms:
Cd 0.0000 0.6664 0.3336  8 Pd 2.84-2.85, 2 Cd 3.08
Cd 0.5000 0.1670 0.8330  8 Pd 2.83-2.85, 2 Cd 3.08
Cd 0.5000 0.8330 0.1670  8 Pd 2.83-2.85, 2 Cd 3.08
Cd 0.5000 0.5000 0.5000  8 Pd 2.84-2.85, 2 Hg 3.08
Cd 0.0000 0.3336 0.6664  8 Pd 2.84-2.85, 2 Cd 3.08
Pd 0.7492 0.9170 0.5817  7 Cd 2.83-2.85, 1 Hg 2.86, 2 Pd 3.08-3.09
Pd 0.2508 0.0830 0.4183  7 Cd 2.83-2.85, 1 Hg 2.86, 2 Pd 3.08-3.09
Pd 0.2484 0.7485 0.7485  6 Cd 2.84-2.85, 2 Hg 2.84-2.85, 2 Pd 3.07-3.10
Pd 0.7516 0.2515 0.2515  6 Cd 2.84-2.85, 2 Hg 2.84-2.85, 2 Pd 3.07-3.10
Pd 0.2508 0.4183 0.0830  7 Cd 2.83-2.85, 1 Hg 2.86, 2 Pd 3.08-3.09
Pd 0.7492 0.5817 0.9170  7 Cd 2.83-2.85, 1 Hg 2.86, 2 Pd 3.08-3.09
Hg 0.0000 0.0000 0.0000  8 Pd 2.84-2.86, 2 Cd 3.08



No. 4
Entry from Alexandria via LeMat-Bulk: a geometry-optimized CaAc2Pt9 structure (PBE-GGA).

**Space-group type**: R-3m (166)
**ρ**: 15531 kg/m3
**DFT formation energy**: -822 meV per atom
**Calculated total energy**: -6.2038 eV/atom

a b c (Å): 5.5447 5.5447 9.5853
angles (deg): 73.19 73.19 60.00
Last column: nearest neighbours and their distance in Å.
Fractional coordinates of all 12 atoms:
Pt 0.0793 0.5839 0.7530  7 Pt 2.72-2.80
Pt 0.5839 0.5839 0.7530  7 Pt 2.72-2.80
Pt 0.6675 0.6675 0.9974  6 Pt 2.72-2.77
Pt 0.4161 0.4161 0.2470  7 Pt 2.72-2.80
Pt 0.3325 0.3325 0.0026  6 Pt 2.72-2.77
Pt 0.5000 0.5000 0.5000  6 Pt 2.80
Pt 0.5839 0.0793 0.7530  7 Pt 2.72-2.80
Pt 0.4161 0.9207 0.2470  7 Pt 2.72-2.80
Pt 0.9207 0.4161 0.2470  7 Pt 2.72-2.80
Ca 0.0000 0.0000 0.0000  18 Pt 3.20-3.56
Ac 0.1376 0.1376 0.5872  12 Pt 3.15-3.46
Ac 0.8624 0.8624 0.4128  12 Pt 3.15-3.46



No. 5
Entry from Alexandria via LeMat-Bulk: a geometry-optimized Tb4Te5O structure (PBE-GGA).

**Space-group type**: C2/m (12)
**ΔE_f (raw)**: -1483 meV per atom
**ρ**: 5384 kg/m3
**Calculated total energy**: -5.4014 eV/atom

a b c (Å): 4.4676 11.1565 8.6386
angles (deg): 106.38 104.99 90.00
Last column: nearest neighbours and their distance in Å.
Fractional coordinates of all 10 atoms:
Te 0.8418 0.1227 0.6835  3 Tb 2.90-3.17
Te 0.8360 0.7319 0.6720  3 Tb 2.88-3.14
Te 0.1582 0.8773 0.3165  3 Tb 2.90-3.17
Te 0.1640 0.2681 0.3280  3 Tb 2.88-3.14
Te 0.5000 0.5000 0.0000  4 Tb 3.07
Tb 0.0027 0.3128 0.0055  4 Te 2.88-3.07
Tb 0.9973 0.6872 0.9945  4 Te 2.88-3.07
Tb 0.3720 0.9387 0.7440  1 O 2.04
Tb 0.6280 0.0613 0.2560  1 O 2.04
O 0.5000 0.0000 0.0000  2 Tb 2.04



No. 6
Entry from Alexandria via LeMat-Bulk: a geometry-optimized Rb2Fe2Cl7 structure (PBE-GGA).

**Space-group type**: C2/m (12)
**ΔE_f (raw)**: -1233 meV per atom
**ρ**: 2091 kg/m3
**Calculated total energy**: -4.1230 eV/atom

a b c (Å): 6.5728 8.1915 8.1915
angles (deg): 104.40 95.76 95.76
Last column: nearest neighbours and their distance in Å.
Fractional coordinates of all 11 atoms:
Fe 0.5791 0.7842 0.7842  4 Cl 2.23-2.31
Fe 0.4209 0.2158 0.2158  4 Cl 2.23-2.31
Cl 0.2394 0.3797 0.0922  1 Fe 2.24
Cl 0.2825 0.6405 0.6405  1 Fe 2.23
Cl 0.7606 0.6203 0.9078  1 Fe 2.24
Cl 0.5000 0.0000 0.0000  2 Fe 2.31
Cl 0.7606 0.9078 0.6203  1 Fe 2.24
Cl 0.7175 0.3595 0.3595  1 Fe 2.23
Cl 0.2394 0.0922 0.3797  1 Fe 2.24
Rb 0.0000 0.3010 0.6990  6 Cl 3.32-3.37
Rb 0.0000 0.6990 0.3010  6 Cl 3.32-3.37



No. 7
Entry from Alexandria via LeMat-Bulk: a geometry-optimized CsBa2Hg3 structure (PBE-GGA).

**Space-group type**: P4/mmm (123)
**ρ**: 6895 kg/m3
**DFT formation energy**: -395 meV per atom
**Calculated total energy**: -1.3295 eV/atom

a b c (Å): 4.2916 4.2916 13.1984
angles (deg): 90.00 90.00 90.00
Last column: nearest neighbours and their distance in Å.
Fractional coordinates of all 6 atoms:
Ba 0.5000 0.5000 0.1573  8 Hg 3.56-3.68
Ba 0.5000 0.5000 0.8427  8 Hg 3.56-3.68
Hg 0.0000 0.0000 0.2978  4 Ba 3.56, 1 Hg 3.93
Hg 0.0000 0.0000 0.7022  4 Ba 3.56, 1 Hg 3.93
Hg 0.0000 0.0000 0.0000  8 Ba 3.68, 2 Hg 3.93
Cs 0.5000 0.5000 0.5000  8 Hg 4.04, 4 Cs 4.29, 2 Ba 4.52



No. 8
Entry from Alexandria via LeMat-Bulk: a geometry-optimized V2HOs structure (PBE-GGA).

**Space-group type**: P4/mmm (123)
**ρ**: 10794 kg/m3
**Calculated total energy**: -8.0579 eV/atom
**ΔE to the lowest computed polymorph**: 0.0 kJ per mole of atoms

a b c (Å): 2.7925 2.7925 5.7828
angles (deg): 90.00 90.00 90.00
Last column: nearest neighbours and their distance in Å.
Fractional coordinates of all 4 atoms:
Os 0.5000 0.5000 0.5000  8 V 2.62, 4 Os 2.79, 2 H 2.89
V 0.0000 0.0000 0.2031  4 H 2.30, 1 V 2.35
V 0.0000 0.0000 0.7969  4 H 2.30, 1 V 2.35
H 0.5000 0.5000 0.0000  8 V 2.30



No. 9
Entry from Alexandria via LeMat-Bulk: a geometry-optimized K2BaWS4 structure (PBE-GGA).

**Space-group type**: I-4 (82)
**ΔE_f (raw)**: -972 meV per atom
**ρ**: 3816 kg/m3
**Calculated total energy**: -5.1696 eV/atom

a b c (Å): 6.6845 6.6845 6.6845
angles (deg): 106.96 110.74 110.74
Last column: nearest neighbours and their distance in Å.
Fractional coordinates of all 8 atoms:
S 0.4325 0.7200 0.7203  1 W 2.32
S 0.0003 0.7125 0.2800  1 W 2.32
S 0.5675 0.2878 0.2875  1 W 2.32
S 0.9997 0.2797 0.7122  1 W 2.32
K 0.5000 0.7500 0.2500  8 S 3.34-3.38
K 0.0000 0.0000 0.0000  4 S 3.05
Ba 0.5000 0.2500 0.7500  8 S 3.34-3.38
W 0.0000 0.5000 0.5000  4 S 2.32



No. 10
Entry from Alexandria via LeMat-Bulk: a geometry-optimized SrFeGe structure (PBE-GGA).

**Space-group type**: Cm (8)
**ρ**: 5143 kg/m3
**DFT formation energy**: -91 meV per atom
**Calculated total energy**: -5.0118 eV/atom

a b c (Å): 6.2462 4.2250 11.6426
angles (deg): 90.00 114.73 90.00
Last column: nearest neighbours and their distance in Å.
Fractional coordinates of all 12 atoms:
Sr 0.5908 0.0000 0.0766  5 Ge 3.24-3.37, 5 Fe 3.33-3.49, 1 Sr 3.52
Sr 0.5908 0.5000 0.5766  5 Ge 3.24-3.37, 5 Fe 3.33-3.49, 1 Sr 3.52
Sr 0.1894 0.5000 0.7913  5 Ge 3.20-3.46, 5 Fe 3.27-3.39, 1 Sr 3.52
Sr 0.1894 0.0000 0.2913  5 Ge 3.20-3.46, 5 Fe 3.27-3.39, 1 Sr 3.52
Fe 0.1743 0.5000 0.0708  2 Ge 2.39, 1 Fe 2.41
Fe 0.7847 0.5000 0.9005  1 Fe 2.41, 4 Ge 2.52-2.56
Fe 0.1743 0.0000 0.5708  2 Ge 2.39, 1 Fe 2.41
Fe 0.7847 0.0000 0.4005  1 Fe 2.41, 4 Ge 2.52-2.56
Ge 0.0220 0.5000 0.4745  4 Fe 2.39-2.52
Ge 0.0220 0.0000 0.9745  4 Fe 2.39-2.52
Ge 0.5691 0.5000 0.2862  3 Fe 2.56-2.68, 1 Ge 2.76
Ge 0.5691 0.0000 0.7862  3 Fe 2.56-2.68, 1 Ge 2.76